Ac2TlGe4Au3 (PBE, relaxed); raw total energy = -0.322 Ry/atom; symmetry = P-4m2; DFT formation energy = -0.490 eV per atom
1.0
4.7055 0.0000 0.0000
0.0000 4.7055 0.0000
0.0000 0.0000 10.6443
Ac Tl Ge Au
2 1 4 3
Direct
0.0000 0.5000 0.2375
0.5000 0.0000 0.7625
0.0000 0.0000 0.5000
0.0000 0.0000 0.0000
0.0000 0.5000 0.6420
0.5000 0.0000 0.3580
0.5000 0.5000 0.0000
0.0000 0.5000 0.8817
0.5000 0.0000 0.1183
0.5000 0.5000 0.5000